[1]
First-principles (PBE-GGA) data for crystalline Ag2BPS4 at its relaxed geometry, as listed in the Alexandria database.

Cell: 4.9279 5.7830 6.2300 Å, 108.02 91.23 114.55°
With the nearest neighbours (Å) after each atom.
Atoms (fractional coordinates):
Ag 0.0000 0.0000 0.0000  4 S 2.58-2.80
Ag 0.3170 0.4604 0.8117  4 S 2.55-2.70
B 0.8204 0.4898 0.3095  4 S 1.87-1.97
P 0.5133 0.9648 0.5150  3 S 2.15-2.19
S 0.1811 0.7105 0.2082  1 B 1.96, 1 P 2.15
S 0.5750 0.2714 0.0218  1 B 1.87
S 0.7082 0.7073 0.5691  1 B 1.97, 1 P 2.18
S 0.9142 0.2447 0.4249  1 B 1.97, 1 P 2.19

SG = P1, No. 1
Formation energy from raw total energies = -107 meV/atom
Size of the total moment = 0.000 Bohr magnetons per cell
Total energy = -4.394 eV per atom

[2]
First-principles (PBE-GGA) data for crystalline CoC4 at its relaxed geometry, as listed in the Alexandria database.

Cell: 4.7119 4.7119 4.7119 Å, 94.01 94.01 149.33°
With the nearest neighbours (Å) after each atom.
Atoms (fractional coordinates):
Co 0.0000 0.0000 0.0000  4 C 1.98
C 0.2177 0.2177 0.4355  2 C 1.38
C 0.2177 0.7823 0.0000  2 C 1.38
C 0.7823 0.2177 0.0000  2 C 1.38
C 0.7823 0.7823 0.5645  2 C 1.38

SG = I4/mmm, No. 139
Energy relative to the elements = 0.90 eV/atom
Size of the total moment = 0.820 Bohr magnetons per cell
Total energy = -7.896 eV per atom

[3]
First-principles (PBE-GGA) data for crystalline K5NaAu at its relaxed geometry, as listed in the Alexandria database.

Cell: 8.2561 8.2561 11.8143 Å, 96.30 96.30 93.78°
With the nearest neighbours (Å) after each atom.
Atoms (fractional coordinates):
K 0.1008 0.6468 0.3708  1 Au 3.34
K 0.1214 0.8786 0.7500  2 Au 3.30
K 0.2046 0.3559 0.9891  1 Au 3.31
K 0.3532 0.8992 0.1292  1 Au 3.34
K 0.3559 0.2046 0.4891  1 Au 3.31
K 0.6441 0.7954 0.5109  1 Au 3.31
K 0.6468 0.1008 0.8708  1 Au 3.34
K 0.7954 0.6441 0.0109  1 Au 3.31
K 0.8786 0.1214 0.2500  2 Au 3.30
K 0.8992 0.3532 0.6292  1 Au 3.34
Na 0.4480 0.5520 0.7500  5 K 3.94-4.06
Na 0.5520 0.4480 0.2500  5 K 3.94-4.06
Au 0.0000 0.0000 0.0000  6 K 3.30-3.34
Au 0.0000 0.0000 0.5000  6 K 3.30-3.34

SG = C2/c, No. 15
Energy relative to the elements = -0.07 eV/atom
Size of the total moment = 0.000 Bohr magnetons per cell
Total energy = -1.514 eV per atom

[4]
First-principles (PBE-GGA) data for crystalline NaCaAg2Br6 at its relaxed geometry, as listed in the Alexandria database.

Cell: 6.9977 7.0822 8.0112 Å, 68.40 64.47 64.11°
With the nearest neighbours (Å) after each atom.
Atoms (fractional coordinates):
Na 0.0000 0.0000 0.0000  6 Br 2.98-3.09
Ca 0.5000 0.5000 0.5000  6 Br 2.88-2.99
Ag 0.1782 0.1836 0.4799  4 Br 2.68-2.80
Ag 0.8218 0.8164 0.5201  4 Br 2.68-2.80
Br 0.0947 0.3985 0.7390  1 Ag 2.73, 1 Ca 2.88, 1 Na 2.98
Br 0.2249 0.8985 0.2954  2 Ag 2.75-2.80, 1 Ca 2.99
Br 0.4321 0.7490 0.7471  1 Ag 2.68, 1 Ca 2.88
Br 0.5679 0.2510 0.2529  1 Ag 2.68, 1 Ca 2.88
Br 0.7751 0.1015 0.7046  2 Ag 2.75-2.80, 1 Ca 2.99
Br 0.9053 0.6015 0.2610  1 Ag 2.73, 1 Ca 2.88, 1 Na 2.98

SG = P-1, No. 2
Formation energy from raw total energies = -1031 meV/atom
Size of the total moment = 0.003 Bohr magnetons per cell
Total energy = -2.937 eV per atom

[5]
First-principles (PBE-GGA) data for crystalline Cd10Ag4Pd at its relaxed geometry, as listed in the Alexandria database.

Cell: 8.1424 8.1424 8.1424 Å, 98.63 98.63 134.42°
With the nearest neighbours (Å) after each atom.
Atoms (fractional coordinates):
Cd 0.0529 0.3432 0.9008  1 Pd 2.78, 3 Ag 2.86-2.88
Cd 0.1522 0.0529 0.7098  1 Pd 2.78, 3 Ag 2.86-2.88
Cd 0.2500 0.7500 0.5000  4 Ag 2.86, 2 Cd 3.15
Cd 0.3432 0.4424 0.2902  1 Pd 2.78, 3 Ag 2.86-2.88
Cd 0.4424 0.1522 0.0992  1 Pd 2.78, 3 Ag 2.86-2.88
Cd 0.5576 0.8478 0.9008  1 Pd 2.78, 3 Ag 2.86-2.88
Cd 0.6568 0.5576 0.7098  1 Pd 2.78, 3 Ag 2.86-2.88
Cd 0.7500 0.2500 0.5000  4 Ag 2.86, 2 Cd 3.15
Cd 0.8478 0.9471 0.2902  1 Pd 2.78, 3 Ag 2.86-2.88
Cd 0.9471 0.6568 0.0992  1 Pd 2.78, 3 Ag 2.86-2.88
Ag 0.1994 0.3962 0.5956  8 Cd 2.86-2.88
Ag 0.3962 0.8006 0.1968  8 Cd 2.86-2.88
Ag 0.6038 0.1994 0.8032  8 Cd 2.86-2.88
Ag 0.8006 0.6038 0.4044  8 Cd 2.86-2.88
Pd 0.0000 0.0000 0.0000  8 Cd 2.78

SG = I4/m, No. 87
Energy relative to the elements = 0.00 eV/atom
Size of the total moment = 0.000 Bohr magnetons per cell
Total energy = -1.719 eV per atom

[6]
First-principles (PBE-GGA) data for crystalline CaAlSiH at its relaxed geometry, as listed in the Alexandria database.

Cell: 4.1409 4.1409 4.6718 Å, 90.00 90.00 120.00°
With the nearest neighbours (Å) after each atom.
Atoms (fractional coordinates):
Ca 0.0000 0.0000 0.0000  3 H 2.42
Al 0.3333 0.6667 0.4570  1 H 1.76
Si 0.6667 0.3333 0.5641  3 Al 2.44
H 0.3333 0.6667 0.0809  1 Al 1.76

SG = P3m1, No. 156
Size of the total moment = 0.000 Bohr magnetons per cell
Total energy = -4.032 eV per atom